Record 1
Compound: CeMg6Sb
Source: the Alexandria database
Functional: PBE-GGA
Structure: relaxed

The space group is Amm2 (No. 38) and the conventional cell measures 4.9891, 6.4637 and 12.3822 Å, with angles of 90.00, 90.00 and 90.00 degrees. Symmetry generates all atoms from Ce at (0.0000, 0.0000, 0.0000), Mg at (0.0000, 0.0000, 0.5417), Mg at (0.0000, 0.2299, 0.2613), Mg at (0.5000, 0.0000, 0.3931), Mg at (0.5000, 0.2474, 0.1231) and Sb at (0.5000, 0.0000, 0.8325).

For the energy relative to the lowest polymorph listed for this composition, the calculation gives 7 meV/atom. As for the volume: 399.3 Å³ per cell. The value obtained for the raw formation energy is -0.0923 eV per atom.

Record 2
Compound: Rb6CdSe4
Source: the Alexandria database
Functional: PBE-GGA
Structure: relaxed

The space group is P6_3mc (No. 186) and the conventional cell measures 10.8568, 10.8568 and 8.3873 Å, with angles of 90.00, 90.00 and 120.00 degrees. Symmetry generates all atoms from Rb at (0.0572, 0.5286, 0.0000), Rb at (0.1480, 0.2960, 0.6748), Cd at (0.3333, 0.6667, 0.3816), Se at (0.1943, 0.3886, 0.2817) and Se at (0.3333, 0.6667, 0.7101).

As for the volume: 856.2 Å³ per cell. The value obtained for the raw formation energy is -1.0531 eV per atom.